Ag12Te6Au (PBE, optimized geometry); ΔE_f (raw) = 27 kJ/mol of formula units; symmetry = No. 2; DOS(E_F) = 5.78 states/eV per cell; total moment = 0.00 μB/f.u.
1.0
7.3546 0.0000 0.0000
2.6234 7.2919 0.0000
0.4878 0.3559 8.4008
Ag Te Au
12 6 1
direct
0.0332 0.0005 0.1893
0.0877 0.6422 0.0196
0.1148 0.7772 0.5107
0.2154 0.4208 0.7100
0.3026 0.0906 0.9517
0.4015 0.6952 0.7859
0.5985 0.3048 0.2141
0.6974 0.9094 0.0483
0.7846 0.5792 0.2900
0.8852 0.2228 0.4893
0.9123 0.3578 0.9804
0.9668 0.9995 0.8107
0.1555 0.3216 0.2405
0.2696 0.0536 0.6197
0.4023 0.7273 0.1287
0.5977 0.2727 0.8713
0.7304 0.9464 0.3803
0.8445 0.6784 0.7595
0.5000 0.5000 0.5000

=====

YTm3Ir (PBE, optimized geometry); symmetry = No. 221; ΔE to the lowest computed polymorph = 68 meV/atom; formation enthalpy at 0 K = -0.30 eV per atom; DOS(E_F) = 6.60 states/eV per cell; total moment = 0.00 μB/f.u.
1.0
5.3610 0.0000 0.0000
0.0000 5.3610 0.0000
0.0000 0.0000 5.3610
Y Tm Ir
1 3 1
direct
0.0000 0.0000 0.0000
0.0000 0.5000 0.5000
0.5000 0.0000 0.5000
0.5000 0.5000 0.0000
0.5000 0.5000 0.5000

=====

Au2Se2I (PBE, optimized geometry); ΔE_f (raw) = 99 kJ/mol of formula units; symmetry = No. 139; ΔE to the lowest computed polymorph = 28 meV/atom; DOS(E_F) = 2.40 states/eV per cell; total moment = 0.00 μB/f.u.
1.0
-2.5051 2.5051 5.7487
2.5051 -2.5051 5.7487
2.5051 2.5051 -5.7487
Au Se I
2 2 1
direct
0.1906 0.1906 0.0000
0.8094 0.8094 0.0000
0.2500 0.7500 0.5000
0.7500 0.2500 0.5000
0.5000 0.5000 0.0000

=====

PuCuSn4Pd2 (PBE, optimized geometry); symmetry = No. 166; formation enthalpy at 0 K = -0.26 eV per atom; DOS(E_F) = 14.42 states/eV per cell; total moment = 5.64 μB/f.u.
1.0
2.3652 1.3655 8.7569
-2.3652 1.3655 8.7569
0.0000 -2.7311 8.7569
Pu Cu Sn Pd
1 1 4 2
direct
0.0000 0.0000 0.0000
0.5000 0.5000 0.5000
0.1298 0.1298 0.1298
0.3928 0.3928 0.3928
0.6072 0.6072 0.6072
0.8702 0.8702 0.8702
0.2422 0.2422 0.2422
0.7578 0.7578 0.7578